(1)
Material: ZrCu2Bi
Method: DFT, PBE
State: optimized geometry

```
16
Lattice="6.724 0.000 0.000 0.000 6.724 0.000 0.000 0.000 6.724" Properties=species:S:1:pos:R:3 pbc="T T T"
Zr 0.000 0.000 0.000
Zr 0.000 3.362 3.362
Zr 3.362 0.000 3.362
Zr 3.362 3.362 0.000
Cu 0.000 0.000 3.362
Cu 0.000 3.362 0.000
Cu 1.681 1.681 1.681
Cu 1.681 5.043 5.043
Cu 3.362 0.000 0.000
Cu 3.362 3.362 3.362
Cu 5.043 1.681 5.043
Cu 5.043 5.043 1.681
Bi 1.681 1.681 5.043
Bi 1.681 5.043 1.681
Bi 5.043 1.681 1.681
Bi 5.043 5.043 5.043
```

Results
- Uncorrected energy: -76.6 eV/cell
- Theoretical density: 9.3 g/cm³
- Total magnetization: 0.026 μB per formula unit
- Space-group type: F-43m
- Crystal system: cubic


(2)
Material: ZrCu2Bi
Method: DFT, PBE
State: optimized geometry

```
16
Lattice="6.741 0.000 0.000 0.000 6.741 0.000 0.000 0.000 6.741" Properties=species:S:1:pos:R:3 pbc="T T T"
Zr 0.000 0.000 0.000
Zr 0.000 3.370 3.370
Zr 3.370 0.000 3.370
Zr 3.370 3.370 0.000
Cu 0.000 0.000 3.370
Cu 0.000 3.370 0.000
Cu 1.685 1.685 5.056
Cu 1.685 5.056 1.685
Cu 3.370 0.000 0.000
Cu 3.370 3.370 3.370
Cu 5.056 1.685 1.685
Cu 5.056 5.056 5.056
Bi 1.685 1.685 1.685
Bi 1.685 5.056 5.056
Bi 5.056 1.685 5.056
Bi 5.056 5.056 1.685
```

Results
- Uncorrected energy: -76.6 eV/cell
- Theoretical density: 9.3 g/cm³
- Total magnetization: 0.067 μB per formula unit
- Space-group type: F-43m
- Crystal system: cubic


(3)
Material: Zr2Cu2Bi
Method: DFT, PBE
State: optimized geometry

```
10
Lattice="4.397 0.000 0.000 0.000 4.397 0.000 0.000 0.000 10.692" Properties=species:S:1:pos:R:3 pbc="T T T"
Zr 0.000 2.199 2.673
Zr 0.000 2.199 8.019
Zr 2.199 0.000 2.673
Zr 2.199 0.000 8.019
Cu 0.000 0.000 1.128
Cu 0.000 0.000 9.564
Cu 2.199 2.199 4.218
Cu 2.199 2.199 6.474
Bi 0.000 0.000 5.346
Bi 2.199 2.199 0.000
```

Results
- Uncorrected energy: -56.4 eV/cell
- Theoretical density: 8.3 g/cm³
- Total magnetization: 0.003 μB per formula unit
- Space-group type: I4/mmm
- Crystal system: tetragonal


(4)
Material: DyBi
Method: DFT, PBE
State: optimized geometry

```
4
Lattice="4.558 0.000 0.000 -2.279 3.947 0.000 0.000 0.000 6.930" Properties=species:S:1:pos:R:3 pbc="T T T"
Dy 0.000 0.000 0.000
Dy 0.000 0.000 3.465
Bi 0.000 2.631 1.732
Bi 2.279 1.316 5.197
```

Results
- Uncorrected energy: -20.3 eV/cell
- Theoretical density: 9.9 g/cm³
- Total magnetization: 0.002 μB per formula unit
- Space-group type: P6_3/mmc
- Crystal system: hexagonal


(5)
Material: DyBi
Method: DFT, PBE
State: optimized geometry

```
8
Lattice="6.282 0.000 0.000 0.000 5.347 0.000 0.000 0.000 7.512" Properties=species:S:1:pos:R:3 pbc="T T T"
Dy 0.000 0.000 0.000
Dy 1.571 2.674 1.976
Dy 3.141 0.000 0.000
Dy 4.712 2.674 5.536
Bi 1.571 0.000 3.201
Bi 1.571 2.674 6.214
Bi 4.712 0.000 4.311
Bi 4.712 2.674 1.298
```

Results
- Uncorrected energy: -37.5 eV/cell
- Theoretical density: 9.8 g/cm³
- Total magnetization: 0.056 μB per formula unit
- Space-group type: Pmma
- Crystal system: orthorhombic


(6)
Material: DyBi
Method: DFT, PBE
State: optimized geometry

```
8
Lattice="7.037 0.000 0.000 0.000 7.037 0.000 0.000 0.000 7.037" Properties=species:S:1:pos:R:3 pbc="T T T"
Dy 0.000 0.000 0.000
Dy 0.000 3.518 3.518
Dy 3.518 0.000 3.518
Dy 3.518 3.518 0.000
Bi 1.759 1.759 1.759
Bi 1.759 5.278 5.278
Bi 5.278 1.759 5.278
Bi 5.278 5.278 1.759
```

Results
- Uncorrected energy: -37.5 eV/cell
- Theoretical density: 7.1 g/cm³
- Total magnetization: 0.001 μB per formula unit
- Space-group type: F-43m
- Crystal system: cubic


(7)
Material: DyBi
Method: DFT, PBE
State: optimized geometry

```
2
Lattice="4.164 0.000 0.000 -2.082 3.606 0.000 0.000 0.000 4.081" Properties=species:S:1:pos:R:3 pbc="T T T"
Dy 0.000 0.000 0.000
Bi 0.000 2.404 2.040
```

Results
- Uncorrected energy: -9.9 eV/cell
- Theoretical density: 10.1 g/cm³
- Total magnetization: 0.000 μB per formula unit
- Space-group type: P-6m2
- Crystal system: hexagonal


(8)
Material: DyBi
Method: DFT, PBE
State: optimized geometry

```
8
Lattice="6.313 0.000 0.000 0.000 6.313 0.000 0.000 0.000 6.313" Properties=species:S:1:pos:R:3 pbc="T T T"
Dy 0.000 0.000 0.000
Dy 0.000 3.157 3.157
Dy 3.157 0.000 3.157
Dy 3.157 3.157 0.000
Bi 0.000 0.000 3.157
Bi 0.000 3.157 0.000
Bi 3.157 0.000 0.000
Bi 3.157 3.157 3.157
```

Results
- Uncorrected energy: -41.6 eV/cell
- Theoretical density: 9.8 g/cm³
- Total magnetization: 0.000 μB per formula unit
- Space-group type: Fm-3m
- Crystal system: cubic


(9)
Material: Dy4ErBi5
Method: DFT, PBE
State: optimized geometry

```
10
Lattice="-2.228 2.228 15.756 2.228 -2.228 15.756 2.228 2.228 -15.756" Properties=species:S:1:pos:R:3 pbc="T T T"
Dy 0.000 0.000 3.149
Dy 0.000 0.000 9.460
Dy 0.000 0.000 22.052
Dy 0.000 0.000 28.363
Er 0.000 0.000 15.756
Bi 0.000 0.000 0.000
Bi 0.000 0.000 6.303
Bi 0.000 0.000 12.618
Bi 0.000 0.000 18.894
Bi 0.000 0.000 25.209
```

Results
- Uncorrected energy: -51.9 eV/cell
- Theoretical density: 9.9 g/cm³
- Total magnetization: 0.016 μB per formula unit
- Space-group type: I4/mmm
- Crystal system: tetragonal


(10)
Material: Dy3Er3FeBi2
Method: DFT, PBE
State: optimized geometry

```
9
Lattice="8.321 0.000 0.000 -4.160 7.206 0.000 0.000 0.000 4.135" Properties=species:S:1:pos:R:3 pbc="T T T"
Dy -0.965 1.672 0.000
Dy 1.930 0.000 0.000
Dy 3.195 5.534 0.000
Er -2.533 4.388 2.068
Er 1.627 2.818 2.068
Er 5.067 0.000 2.068
Fe 0.000 0.000 2.068
Bi 0.000 4.804 0.000
Bi 4.160 2.402 0.000
```

Results
- E above lowest polymorph: 0.30 eV per formula unit
- Uncorrected energy: -47.6 eV/cell
- Theoretical density: 9.8 g/cm³
- Total magnetization: 0.049 μB per formula unit
- Space-group type: P-62m
- Crystal system: hexagonal


(11)
Material: Dy3Er3FeBi2
Method: DFT, PBE
State: optimized geometry

```
9
Lattice="8.297 0.000 0.000 -4.149 7.186 0.000 0.000 0.000 4.154" Properties=species:S:1:pos:R:3 pbc="T T T"
Dy -2.537 4.394 0.000
Dy 1.612 2.792 0.000
Dy 5.074 0.000 0.000
Er -0.951 1.648 2.077
Er 1.902 0.000 2.077
Er 3.197 5.538 2.077
Fe 0.000 0.000 0.000
Bi 0.000 4.790 2.077
Bi 4.149 2.395 2.077
```

Results
- E above lowest polymorph: 0.00 eV per formula unit
- Uncorrected energy: -47.9 eV/cell
- Theoretical density: 9.8 g/cm³
- Total magnetization: 0.020 μB per formula unit
- Space-group type: P-62m
- Crystal system: hexagonal


(12)
Material: Dy2Ho3ErBi2Os
Method: DFT, PBE
State: optimized geometry

```
9
Lattice="4.225 0.000 0.000 0.000 7.152 4.145 0.000 -7.152 4.145" Properties=species:S:1:pos:R:3 pbc="T T T"
Dy 0.000 -5.478 4.145
Dy 0.000 5.478 4.145
Ho 2.112 0.000 2.244
Ho 2.112 -2.761 5.717
Ho 2.112 2.761 5.717
Er 0.000 0.000 5.381
Bi 0.000 -2.376 3.181
Bi 0.000 2.376 3.181
Os 2.112 0.000 7.298
```

Results
- Uncorrected energy: -51.7 eV/cell
- Theoretical density: 10.6 g/cm³
- Total magnetization: 0.020 μB per formula unit
- Space-group type: Amm2
- Crystal system: orthorhombic


Copy entry 12 word for word.
Material: Dy2Ho3ErBi2Os
Method: DFT, PBE
State: optimized geometry

```
9
Lattice="4.225 0.000 0.000 0.000 7.152 4.145 0.000 -7.152 4.145" Properties=species:S:1:pos:R:3 pbc="T T T"
Dy 0.000 -5.478 4.145
Dy 0.000 5.478 4.145
Ho 2.112 0.000 2.244
Ho 2.112 -2.761 5.717
Ho 2.112 2.761 5.717
Er 0.000 0.000 5.381
Bi 0.000 -2.376 3.181
Bi 0.000 2.376 3.181
Os 2.112 0.000 7.298
```

Results
- Uncorrected energy: -51.7 eV/cell
- Theoretical density: 10.6 g/cm³
- Total magnetization: 0.020 μB per formula unit
- Space-group type: Amm2
- Crystal system: orthorhombic


Q: The highest total magnetization belongs to which entry?
A: number 2